(1)
Sm4Dy6Er after structural relaxation. Source: the Alexandria database, functional PBE-GGA.

It has space group I-42m (No. 121), with a = 6.603 Å, b = 6.603 Å, c = 17.040 Å, α = 90.00°, β = 90.00° and γ = 90.00°. The distinct sites, in fractional coordinates, are Sm at (0.189, 0.189, 0.175), Dy at (0.000, 0.500, 0.000), Dy at (0.178, 0.178, 0.373) and Er at (0.000, 0.000, 0.000).

The energy above the most stable polymorph in this dataset is 0.000 eV per atom. The value obtained for the formation energy is 0.299 eV/atom.

***

(2)
DyTm3Co after structural relaxation. Source: the Alexandria database, functional PBE-GGA.

It has space group P2_1/c (No. 14), with a = 7.669 Å, b = 7.131 Å, c = 9.967 Å, α = 90.00°, β = 107.38° and γ = 90.00°. The distinct sites, in fractional coordinates, are Dy at (0.190, 0.054, 0.260), Tm at (0.081, 0.708, 0.033), Tm at (0.293, 0.512, 0.381), Tm at (0.411, 0.127, 0.605) and Co at (0.455, 0.747, 0.609).

The energy above the most stable polymorph in this dataset is 0.041 eV per atom. The value obtained for the formation energy is -0.044 eV/atom.

***

(3)
Al2BiO6 after structural relaxation. Source: the Alexandria database, functional PBE-GGA.

It has space group P321 (No. 150), with a = 8.7699 Å, b = 8.7699 Å, c = 4.3299 Å, α = 90.00°, β = 90.00° and γ = 120.00°. The distinct sites, in fractional coordinates, are Al at (0.0000, 0.3498, 0.0000), Al at (0.0000, 0.6891, 0.5000), Bi at (0.0000, 0.0000, 0.0000), Bi at (0.3333, 0.6667, 0.5027), O at (0.0910, 0.5590, 0.2517), O at (0.1101, 0.2404, 0.2478) and O at (0.2130, 0.4261, 0.7511).

The value obtained for the uncorrected formation energy is -15.86 eV per formula unit.

***

(4)
K2Li2SbO6 after structural relaxation. Source: the Alexandria database, functional PBE-GGA.

It has space group P-31m (No. 162), with a = 5.4818 Å, b = 5.4818 Å, c = 6.1253 Å, α = 90.00°, β = 90.00° and γ = 120.00°. The distinct sites, in fractional coordinates, are K at (0.3333, 0.6667, 0.0000), Li at (0.3333, 0.6667, 0.5000), Sb at (0.0000, 0.0000, 0.5000) and O at (0.0000, 0.3059, 0.3226).

The value obtained for the uncorrected formation energy is -13.64 eV per formula unit.

***

(5)
Ba2NaSr12 after structural relaxation. Source: the Alexandria database, functional PBE-GGA.

It has space group P4/nbm (No. 125, origin choice 2), with a = 7.920 Å, b = 7.920 Å, c = 28.644 Å, α = 90.00°, β = 90.00° and γ = 90.00°. The distinct sites, in fractional coordinates, are Ba at (0.250, 0.750, 0.229), Na at (0.250, 0.750, 0.500), Sr at (0.005, 0.505, 0.412), Sr at (0.076, 0.576, 0.937), Sr at (0.250, 0.250, 0.164) and Sr at (0.250, 0.250, 0.304).

The value obtained for the formation energy is 0.200 eV/atom.

***

(6)
AcTl3S3 after structural relaxation. Source: the Alexandria database, functional PBE-GGA.

It has space group C2/m (No. 12), with a = 15.635 Å, b = 8.550 Å, c = 8.799 Å, α = 90.00°, β = 124.14° and γ = 90.00°. The distinct sites, in fractional coordinates, are Ac at (0.217, 0.000, 0.467), Tl at (0.000, 0.249, 0.000), Tl at (0.000, 0.249, 0.500), Tl at (0.249, 0.500, 0.999), S at (0.005, 0.000, 0.755) and S at (0.250, 0.250, 0.278).

The value obtained for the uncorrected formation energy is -6.44 eV per formula unit.

***

(7)
Ca2Ac2Si after structural relaxation. Source: the Alexandria database, functional PBE-GGA.

It has space group I4/mmm (No. 139), with a = 4.310 Å, b = 4.310 Å, c = 20.435 Å, α = 90.00°, β = 90.00° and γ = 90.00°. The distinct sites, in fractional coordinates, are Ca at (0.000, 0.500, 0.250), Ac at (0.000, 0.000, 0.081) and Si at (0.000, 0.000, 0.500).

The value obtained for the uncorrected formation energy is 1.24 eV per formula unit.

***

(8)
Y2WSe after structural relaxation. Source: the Alexandria database, functional PBE-GGA.

It has space group I-4m2 (No. 119), with a = 4.181 Å, b = 4.181 Å, c = 10.438 Å, α = 90.00°, β = 90.00° and γ = 90.00°. The distinct sites, in fractional coordinates, are Y at (0.000, 0.000, 0.000), Y at (0.000, 0.500, 0.250), W at (0.000, 0.000, 0.500) and Se at (0.000, 0.500, 0.750).

The value obtained for the uncorrected formation energy is 0.40 eV per formula unit.